A plane-wave DFT calculation with PBE was carried out for crystalline CaSnHg2 at its relaxed geometry.

The electronic total energy comes out at -2.0358 eV/atom. The value obtained for the total moment is 0.00 μB/cell.

It has space group Fmmm (No. 69), with a = 6.9836 Å, b = 6.9967 Å, c = 8.4064 Å, α = 90.00°, β = 90.00° and γ = 90.00°. The distinct sites, in fractional coordinates, are Ca at (0.0000, 0.0000, 0.0000), Sn at (0.0000, 0.0000, 0.5000) and Hg at (0.2500, 0.2500, 0.2500).



A plane-wave DFT calculation with PBE was carried out for crystalline Ba6GeAs2Br3 at its relaxed geometry.

The electronic total energy comes out at -3.9488 eV/atom. The value obtained for the total moment is 2.13 μB/cell.

It has space group C2/m (No. 12), with a = 8.3148 Å, b = 14.4121 Å, c = 8.5277 Å, α = 90.00°, β = 109.00° and γ = 90.00°. The distinct sites, in fractional coordinates, are Ba at (0.2357, 0.0000, 0.2213), Ba at (0.2421, 0.3310, 0.2200), Ge at (0.0000, 0.5000, 0.0000), As at (0.0000, 0.1663, 0.0000), Br at (0.0000, 0.0000, 0.5000) and Br at (0.0000, 0.3314, 0.5000).



A plane-wave DFT calculation with PBE was carried out for crystalline ScHg2Br at its relaxed geometry.

The electronic total energy comes out at -2.4289 eV/atom. The value obtained for the total moment is 0.00 μB/cell.

It has space group I-4m2 (No. 119), with a = 4.5345 Å, b = 4.5345 Å, c = 9.3497 Å, α = 90.00°, β = 90.00° and γ = 90.00°. The distinct sites, in fractional coordinates, are Sc at (0.0000, 0.0000, 0.0000), Hg at (0.0000, 0.0000, 0.5000), Hg at (0.0000, 0.5000, 0.2500) and Br at (0.0000, 0.5000, 0.7500).



A plane-wave DFT calculation with PBE was carried out for crystalline Sm4Ho8Er3 at its relaxed geometry.

The electronic total energy comes out at -4.4853 eV/atom. The value obtained for the total moment is 0.00 μB/cell.

It has space group R-3m (No. 166, hexagonal axes), with a = 6.9118 Å, b = 6.9118 Å, c = 35.2274 Å, α = 90.00°, β = 90.00° and γ = 120.00°. The distinct sites, in fractional coordinates, are Sm at (0.0000, 0.0000, 0.0000), Sm at (0.0000, 0.0000, 0.1635), Sm at (0.0000, 0.0000, 0.5000), Ho at (0.0000, 0.0000, 0.2553), Ho at (0.0019, 0.5009, 0.2511) and Er at (0.0000, 0.5000, 0.0000).



A plane-wave DFT calculation with PBE was carried out for crystalline MnW2Se at its relaxed geometry.

The electronic total energy comes out at -9.1710 eV/atom. The value obtained for the total moment is 2.25 μB/cell.

It has space group Pmm2 (No. 25), with a = 3.0651 Å, b = 3.9517 Å, c = 5.1833 Å, α = 90.00°, β = 90.00° and γ = 90.00°. The distinct sites, in fractional coordinates, are Mn at (0.0000, 0.0000, 0.0000), W at (0.0000, 0.0000, 0.5037), W at (0.5000, 0.5000, 0.7230) and Se at (0.5000, 0.5000, 0.2156).



A plane-wave DFT calculation with PBE was carried out for crystalline Na6Tl8In at its relaxed geometry.

The electronic total energy comes out at -2.0676 eV/atom. The value obtained for the total moment is 0.00 μB/cell.

It has space group P-1 (No. 2), with a = 6.1209 Å, b = 8.8099 Å, c = 8.8825 Å, α = 76.17°, β = 72.99° and γ = 71.58°. The distinct sites, in fractional coordinates, are Na at (0.1994, 0.2717, 0.1588), Na at (0.2031, 0.6035, 0.4973), Na at (0.2043, 0.9348, 0.8294), Tl at (0.0002, 0.3325, 0.8318), Tl at (0.3901, 0.8713, 0.1743), Tl at (0.3911, 0.1995, 0.4973), Tl at (0.3988, 0.5313, 0.8346) and In at (0.0000, 0.0000, 0.5000).



A plane-wave DFT calculation with PBE was carried out for crystalline AcRe2N7 at its relaxed geometry.

The electronic total energy comes out at -8.2670 eV/atom. The value obtained for the total moment is 2.65 μB/cell.

It has space group Cmmm (No. 65), with a = 6.5297 Å, b = 9.9050 Å, c = 3.8972 Å, α = 90.00°, β = 90.00° and γ = 90.00°. The distinct sites, in fractional coordinates, are Ac at (0.0000, 0.0000, 0.0000), Re at (0.0000, 0.3039, 0.5000), N at (0.0000, 0.2955, 0.0000), N at (0.0000, 0.5000, 0.5000) and N at (0.1954, 0.1408, 0.5000).



A plane-wave DFT calculation with PBE was carried out for crystalline LaRe2SnHg at its relaxed geometry.

The electronic total energy comes out at -4.5467 eV/atom. The value obtained for the total moment is 2.77 μB/cell.

It has space group P4/mmm (No. 123), with a = 4.9776 Å, b = 4.9776 Å, c = 6.0136 Å, α = 90.00°, β = 90.00° and γ = 90.00°. The distinct sites, in fractional coordinates, are La at (0.0000, 0.0000, 0.0000), Re at (0.0000, 0.5000, 0.0000), Sn at (0.0000, 0.0000, 0.5000) and Hg at (0.5000, 0.5000, 0.5000).



A plane-wave DFT calculation with PBE was carried out for crystalline Mg2HgIr at its relaxed geometry.

The electronic total energy comes out at -3.1795 eV/atom. The value obtained for the total moment is 0.00 μB/cell.

It has space group R-3m (No. 166, hexagonal axes), with a = 3.0598 Å, b = 3.0598 Å, c = 28.0021 Å, α = 90.00°, β = 90.00° and γ = 120.00°. The distinct sites, in fractional coordinates, are Mg at (0.0000, 0.0000, 0.2383), Hg at (0.0000, 0.0000, 0.0000) and Ir at (0.0000, 0.0000, 0.5000).



A plane-wave DFT calculation with PBE was carried out for crystalline SmH4Os at its relaxed geometry.

The electronic total energy comes out at -5.1592 eV/atom. The value obtained for the total moment is 0.00 μB/cell.

It has space group Cmcm (No. 63), with a = 4.3899 Å, b = 6.2371 Å, c = 8.5282 Å, α = 90.00°, β = 90.00° and γ = 90.00°. The distinct sites, in fractional coordinates, are Sm at (0.0000, 0.0000, 0.0000), H at (0.0000, 0.3606, 0.0503), H at (0.2475, 0.1102, 0.2500) and Os at (0.0000, 0.3558, 0.2500).



A plane-wave DFT calculation with PBE was carried out for crystalline Ba2HoCdSe5 at its relaxed geometry.

The electronic total energy comes out at -4.4923 eV/atom. The value obtained for the total moment is 0.00 μB/cell.

It has space group Cmc2_1 (No. 36), with a = 4.3357 Å, b = 19.0168 Å, c = 13.2994 Å, α = 90.00°, β = 90.00° and γ = 90.00°. The distinct sites, in fractional coordinates, are Ba at (0.0000, 0.1154, 0.0000), Ba at (0.0000, 0.1307, 0.6273), Ho at (0.0000, 0.2080, 0.3277), Cd at (0.0000, 0.4492, 0.7584), Se at (0.0000, 0.0563, 0.3726), Se at (0.0000, 0.2906, 0.9704), Se at (0.0000, 0.3086, 0.6826), Se at (0.0000, 0.3544, 0.3178) and Se at (0.0000, 0.4953, 0.0801).



A plane-wave DFT calculation with PBE was carried out for crystalline LiSiSe at its relaxed geometry.

The electronic total energy comes out at -3.7234 eV/atom. The value obtained for the total moment is 0.00 μB/cell.

It has space group Imm2 (No. 44), with a = 2.8631 Å, b = 3.9599 Å, c = 10.9207 Å, α = 90.00°, β = 90.00° and γ = 90.00°. The distinct sites, in fractional coordinates, are Li at (0.0000, 0.0000, 0.0000), Si at (0.0000, 0.0000, 0.3616) and Se at (0.0000, 0.0000, 0.5834).